# KTl2Zn

A relaxed KTl2Zn crystal (PBE, the Alexandria database).

Summary:
space group = P4mm
electronic total energy = -1.7477 eV/atom
N(E_F) = 0.368 states/eV/atom
formation energy = 28 meV/atom
volume = 31.58 Å³/atom
total moment = 0.00 μB per formula unit
polymorph energy (0 for the lowest one) = 46 meV per atom

Cell lengths 3.9538, 3.9574, 8.0738 Å; angles 90.00, 90.00, 90.00 degrees
Closest atoms and distances in Å follow each position.
Fractional coordinates of all 4 atoms:
K  0.5000  0.5000  0.7367  5 Tl 3.62-3.74, 4 Zn 3.72, 4 K 3.95-3.96
Tl  0.0000  0.0000  0.0433  1 Zn 3.14, 4 Tl 3.42
Tl  0.5000  0.5000  0.2877  4 Zn 3.03
Zn  0.0000  0.0000  0.4322  5 Tl 3.03-3.14